(1)
## RbInBr4 (GGA-PBE)

Data for a relaxed RbInBr4 crystal.

Computed properties:
Uncorrected energy ... -2.910 eV per atom
Uncorrected formation energy ... -1.18 eV per atom

Cell lengths 8.1531, 11.2598, 10.9867 Å; angles 90.00, 90.00, 90.00 degrees
Space group Pnna (No. 52)
One atom of each set of equivalent atoms:
Rb 0.1829 0.2500 0.2500 (multiplicity 4)
In 0.2500 0.0000 0.6822 (multiplicity 4)
Br 0.0007 0.0369 0.8179 (multiplicity 8)
Br 0.1665 0.6794 0.9450 (multiplicity 8)

***

(2)
## Rb2InBr (GGA-PBE)

Data for a relaxed Rb2InBr crystal.

Computed properties:
Uncorrected energy ... -2.146 eV per atom
Uncorrected formation energy ... -0.56 eV per atom
Distance to the lowest polymorph of the same formula ... 0 meV/atom

Cell lengths 9.7850, 9.7850, 8.3811 Å; angles 90.00, 90.00, 90.00 degrees
Space group I-42d (No. 122)
One atom of each set of equivalent atoms:
Rb 0.2028 0.7500 0.1250 (multiplicity 8)
In 0.0000 0.0000 0.5000 (multiplicity 4)
Br 0.0000 0.0000 0.0000 (multiplicity 4)

***

(3)
## Rb2InBr4 (GGA-PBE)

Data for a relaxed Rb2InBr4 crystal.

Computed properties:
Uncorrected energy ... -2.890 eV per atom
Uncorrected formation energy ... -1.27 eV per atom
Distance to the lowest polymorph of the same formula ... 42 meV/atom

Cell lengths 13.4491, 4.6721, 9.1921 Å; angles 90.00, 115.88, 90.00 degrees
Space group C2/m (No. 12)
One atom of each set of equivalent atoms:
Rb 0.1626 0.0000 0.1743 (multiplicity 4)
In 0.0000 0.5000 0.5000 (multiplicity 2)
Br 0.0634 0.5000 0.8480 (multiplicity 4)
Br 0.1474 0.0000 0.5481 (multiplicity 4)

***

(4)
## RbInBr2 (GGA-PBE)

Data for a relaxed RbInBr2 crystal.

Computed properties:
Uncorrected energy ... -2.785 eV per atom
Uncorrected formation energy ... -1.02 eV per atom
Distance to the lowest polymorph of the same formula ... 172 meV/atom

Cell lengths 5.1680, 5.1680, 28.7424 Å; angles 90.00, 90.00, 120.00 degrees
Space group R-3m (No. 166, hexagonal axes)
One atom of each set of equivalent atoms:
Rb 0.0000 0.0000 0.0000 (multiplicity 3)
In 0.0000 0.0000 0.5000 (multiplicity 3)
Br 0.0000 0.0000 0.3975 (multiplicity 6)

***

(5)
## RbInBr2 (GGA-PBE)

Data for a relaxed RbInBr2 crystal.

Computed properties:
Uncorrected energy ... -2.911 eV per atom
Uncorrected formation energy ... -1.15 eV per atom
Distance to the lowest polymorph of the same formula ... 46 meV/atom

Cell lengths 5.7875, 5.7875, 4.0861 Å; angles 90.00, 90.00, 90.00 degrees
Space group P4/mmm (No. 123)
One atom of each set of equivalent atoms:
Rb 0.0000 0.0000 0.0000 (multiplicity 1)
In 0.5000 0.5000 0.0000 (multiplicity 1)
Br 0.0000 0.5000 0.5000 (multiplicity 2)

***

(6)
## RbInBr2 (GGA-PBE)

Data for a relaxed RbInBr2 crystal.

Computed properties:
Uncorrected energy ... -2.906 eV per atom
Uncorrected formation energy ... -1.14 eV per atom
Distance to the lowest polymorph of the same formula ... 51 meV/atom

Cell lengths 8.1984, 8.1984, 8.1984 Å; angles 90.00, 90.00, 90.00 degrees
Space group Fm-3m (No. 225)
One atom of each set of equivalent atoms:
Rb 0.0000 0.0000 0.0000 (multiplicity 4)
In 0.0000 0.0000 0.5000 (multiplicity 4)
Br 0.2500 0.2500 0.2500 (multiplicity 8)

***

(7)
## Rb2InBr5 (GGA-PBE)

Data for a relaxed Rb2InBr5 crystal.

Computed properties:
Uncorrected energy ... -2.928 eV per atom
Uncorrected formation energy ... -1.30 eV per atom
Distance to the lowest polymorph of the same formula ... 0 meV/atom

Cell lengths 8.1989, 8.1989, 9.7968 Å; angles 90.00, 90.00, 90.00 degrees
Space group I4mm (No. 107)
One atom of each set of equivalent atoms:
Rb 0.0000 0.5000 0.0000 (multiplicity 4)
In 0.0000 0.0000 0.2921 (multiplicity 2)
Br 0.0000 0.0000 0.5532 (multiplicity 2)
Br 0.2257 0.2257 0.2373 (multiplicity 8)

***

(8)
## RbInBr2 (GGA-PBE)

Data for a relaxed RbInBr2 crystal.

Computed properties:
Uncorrected energy ... -2.933 eV per atom
Uncorrected formation energy ... -1.17 eV per atom
Distance to the lowest polymorph of the same formula ... 23 meV/atom

Cell lengths 4.7479, 4.7479, 24.7858 Å; angles 90.00, 90.00, 120.00 degrees
Space group R3m (No. 160, hexagonal axes)
One atom of each set of equivalent atoms:
Rb 0.0000 0.0000 0.0000 (multiplicity 3)
In 0.0000 0.0000 0.8318 (multiplicity 3)
Br 0.0000 0.0000 0.2457 (multiplicity 3)
Br 0.0000 0.0000 0.4194 (multiplicity 3)